Computed, not measured: an optimized crystal structure of Pr3AgB2Pt9 at the PBE level of DFT.

Lattice parameters (Å, degrees): 5.814 5.814 9.609 90.00 90.00 120.00
Element x y z (fractional)
Pr (0.000, 0.000, 0.000)
Pr (0.333, 0.667, 0.612)
Pr (0.667, 0.333, 0.388)
Ag (0.000, 0.000, 0.500)
B (0.333, 0.667, 0.146)
B (0.667, 0.333, 0.854)
Pt (0.000, 0.500, 0.000)
Pt (0.166, 0.331, 0.277)
Pt (0.166, 0.834, 0.277)
Pt (0.331, 0.166, 0.723)
Pt (0.500, 0.000, 0.000)
Pt (0.500, 0.500, 0.000)
Pt (0.669, 0.834, 0.277)
Pt (0.834, 0.166, 0.723)
Pt (0.834, 0.669, 0.723)

- mass density (g/cm3) = 13.6
- formation enthalpy at 0 K (eV per formula unit) = -10.577
- symmetry = P-3m1

---

Computed, not measured: an optimized crystal structure of Pr2Ag2BPt4 at the PBE level of DFT.

Lattice parameters (Å, degrees): 6.125 6.125 6.125 114.88 114.88 99.13
Element x y z (fractional)
Pr (0.250, 0.750, 0.500)
Pr (0.750, 0.250, 0.500)
Ag (0.183, 0.183, 0.000)
Ag (0.817, 0.817, 0.000)
B (0.500, 0.500, 0.000)
Pt (0.274, 0.274, 0.548)
Pt (0.274, 0.726, 0.000)
Pt (0.726, 0.274, 0.000)
Pt (0.726, 0.726, 0.452)

- mass density (g/cm3) = 12.4
- formation enthalpy at 0 K (eV per formula unit) = -5.468
- symmetry = I4/mmm

---

Computed, not measured: an optimized crystal structure of Pr3Ag2BRh3 at the PBE level of DFT.

Lattice parameters (Å, degrees): 7.724 7.724 3.561 90.00 90.00 120.00
Element x y z (fractional)
Pr (0.000, 0.358, 0.000)
Pr (0.358, 0.000, 0.000)
Pr (0.642, 0.642, 0.000)
Ag (0.333, 0.667, 0.500)
Ag (0.667, 0.333, 0.500)
B (0.000, 0.000, 0.000)
Rh (0.000, 0.794, 0.500)
Rh (0.206, 0.206, 0.500)
Rh (0.794, 0.000, 0.500)

- mass density (g/cm3) = 8.6
- formation enthalpy at 0 K (eV per formula unit) = -3.286
- symmetry = P-62m

---

mass density of number 3 (Pr3Ag2BRh3)? 8.6 g/cm3